# DyErMgPb PBE-GGA optimized geometry
# Final energy: -3.872 eV/atom
# Density of states at the Fermi level: 4.23 states/eV/cell
data_DyErMgPb
_chemical_formula_sum 'Dy1 Er1 Mg1 Pb1'
_cell_length_a 5.3450
_cell_length_b 5.3450
_cell_length_c 5.3450
_cell_angle_alpha 60.00
_cell_angle_beta 60.00
_cell_angle_gamma 60.00
_symmetry_space_group_name_H-M 'P 1'
_symmetry_Int_Tables_number 1
loop_
_symmetry_equiv_pos_as_xyz
'x,y,z'
loop_
_atom_site_label
_atom_site_type_symbol
_atom_site_fract_x
_atom_site_fract_y
_atom_site_fract_z
_atom_site_occupancy
Er1 Er 0.7500 0.7500 0.7500 1
Mg1 Mg 0.0000 0.0000 0.0000 1
Dy1 Dy 0.2500 0.2500 0.2500 1
Pb1 Pb 0.5000 0.5000 0.5000 1


# DyEr2MgPd4 PBE-GGA optimized geometry
# Final energy: -5.375 eV/atom
# Density of states at the Fermi level: 4.69 states/eV/cell
data_DyEr2MgPd4
_chemical_formula_sum 'Dy1 Er2 Mg1 Pd4'
_cell_length_a 4.8426
_cell_length_b 4.8426
_cell_length_c 8.4035
_cell_angle_alpha 73.25
_cell_angle_beta 73.25
_cell_angle_gamma 60.00
_symmetry_space_group_name_H-M 'P 1'
_symmetry_Int_Tables_number 1
loop_
_symmetry_equiv_pos_as_xyz
'x,y,z'
loop_
_atom_site_label
_atom_site_type_symbol
_atom_site_fract_x
_atom_site_fract_y
_atom_site_fract_z
_atom_site_occupancy
Er1 Er 0.2454 0.2454 0.2637 1
Mg1 Mg 0.5000 0.5000 0.5000 1
Er2 Er 0.7546 0.7546 0.7363 1
Pd1 Pd 0.3754 0.3754 0.8737 1
Pd2 Pd 0.1242 0.1242 0.6273 1
Pd3 Pd 0.8758 0.8758 0.3727 1
Dy1 Dy 0.0000 0.0000 0.0000 1
Pd4 Pd 0.6246 0.6246 0.1263 1


# Pm2Dy4ErMg PBE-GGA optimized geometry
# Final energy: -4.232 eV/atom
# Density of states at the Fermi level: 12.34 states/eV/cell
data_Pm2Dy4ErMg
_chemical_formula_sum 'Pm2 Dy4 Er1 Mg1'
_cell_length_a 4.9650
_cell_length_b 4.9766
_cell_length_c 11.2480
_cell_angle_alpha 63.71
_cell_angle_beta 90.00
_cell_angle_gamma 90.00
_symmetry_space_group_name_H-M 'P 1'
_symmetry_Int_Tables_number 1
loop_
_symmetry_equiv_pos_as_xyz
'x,y,z'
loop_
_atom_site_label
_atom_site_type_symbol
_atom_site_fract_x
_atom_site_fract_y
_atom_site_fract_z
_atom_site_occupancy
Dy1 Dy 0.0000 0.7496 0.7504 1
Dy2 Dy 0.0000 0.2504 0.2496 1
Pm1 Pm 0.5000 0.0001 0.5000 1
Mg1 Mg 0.5000 0.4999 0.0000 1
Dy3 Dy 0.5000 0.2499 0.7503 1
Er1 Er 0.0000 0.5001 0.4999 1
Dy4 Dy 0.5000 0.7502 0.2497 1
Pm2 Pm 0.0000 0.9999 0.0000 1


# Pm2Dy4Er2Mg PBE-GGA optimized geometry
# Final energy: -4.158 eV/atom
# Density of states at the Fermi level: 10.95 states/eV/cell
data_Pm2Dy4Er2Mg
_chemical_formula_sum 'Pm2 Dy4 Er2 Mg1'
_cell_length_a 7.0601
_cell_length_b 8.4770
_cell_length_c 6.5930
_cell_angle_alpha 121.28
_cell_angle_beta 119.61
_cell_angle_gamma 79.74
_symmetry_space_group_name_H-M 'P 1'
_symmetry_Int_Tables_number 1
loop_
_symmetry_equiv_pos_as_xyz
'x,y,z'
loop_
_atom_site_label
_atom_site_type_symbol
_atom_site_fract_x
_atom_site_fract_y
_atom_site_fract_z
_atom_site_occupancy
Dy1 Dy 0.6274 0.7804 0.4150 1
Dy2 Dy 0.6547 0.6491 0.8423 1
Dy3 Dy 0.3453 0.3509 0.1577 1
Pm1 Pm 0.8308 0.1813 0.4817 1
Er1 Er 0.1414 0.6024 0.8399 1
Dy4 Dy 0.3726 0.2196 0.5850 1
Er2 Er 0.8586 0.3976 0.1601 1
Pm2 Pm 0.1692 0.8187 0.5183 1
Mg1 Mg 0.0000 0.0000 0.0000 1


> Which of these has the lowest density of states at the Fermi level?

DyErMgPb


> Among the records above, which one has the lowest final energy?

DyEr2MgPd4